[1]
Cu6PtAu3: optimized geometry, GGA-PBE.

The space group is P2_1/m (No. 11) and the conventional cell measures 7.2163, 4.4602 and 9.5324 Å, with angles of 90.00, 111.35 and 90.00 degrees. Symmetry generates all atoms from Cu at (0.9998, 0.2500, 0.1781), Cu at (0.0090, 0.2500, 0.6723), Cu at (0.1908, 0.7500, 0.6333), Cu at (0.2138, 0.2500, 0.9639), Cu at (0.3856, 0.7500, 0.4272), Cu at (0.3997, 0.2500, 0.7756), Pt at (0.3890, 0.7500, 0.9266), Au at (0.1740, 0.7500, 0.1231), Au at (0.2031, 0.2500, 0.4786) and Au at (0.4136, 0.2500, 0.2771).

The calculation puts the uncorrected energy at -82.1 eV/cell. For the mass density, the calculation gives 13.6 g/cm3.


[2]
Na2MoCl: optimized geometry, GGA-PBE.

The space group is I-42d (No. 122) and the conventional cell measures 8.8365, 8.8365 and 5.5845 Å, with angles of 90.00, 90.00 and 90.00 degrees. Symmetry generates all atoms from Na at (0.1722, 0.2500, 0.1250), Mo at (0.0000, 0.0000, 0.5000) and Cl at (0.0000, 0.0000, 0.0000).

As for the uncorrected formation energy: 0.511 eV/atom. For the mass density, the calculation gives 2.7 g/cm3.


[3]
NdAl3NiAu: optimized geometry, GGA-PBE.

The space group is Cmcm (No. 63) and the conventional cell measures 6.1659, 12.2782 and 5.9865 Å, with angles of 90.00, 90.00 and 90.00 degrees. Symmetry generates all atoms from Nd at (0.0000, 0.2262, 0.2500), Al at (0.0000, 0.3631, 0.7500), Al at (0.2172, 0.0000, 0.0000), Ni at (0.0000, 0.4408, 0.2500) and Au at (0.0000, 0.1512, 0.7500).

The calculation puts the uncorrected energy at -111.0 eV/cell. For the mass density, the calculation gives 7.0 g/cm3.


[4]
PaTa2Co9: optimized geometry, GGA-PBE.

The space group is R-3m (No. 166, hexagonal axes) and the conventional cell measures 4.7603, 4.7603 and 23.4286 Å, with angles of 90.00, 90.00 and 120.00 degrees. Symmetry generates all atoms from Pa at (0.0000, 0.0000, 0.0000), Ta at (0.0000, 0.0000, 0.1414), Co at (0.0000, 0.0000, 0.3340), Co at (0.0000, 0.0000, 0.5000) and Co at (0.0043, 0.5022, 0.9137).

The calculation puts the uncorrected energy at -299.4 eV/cell. For the mass density, the calculation gives 12.2 g/cm3.